A relaxed CuH2Se2O6 crystal. Source: Alexandria, functional GGA-PBEsol.

Raw total energy: -5.36 eV per atom

```
data_CuH2Se2O6
_chemical_formula_sum 'Cu2 H4 Se4 O12'
_cell_length_a 5.8844
_cell_length_b 7.2281
_cell_length_c 8.3760
_cell_angle_alpha 90.00
_cell_angle_beta 131.37
_cell_angle_gamma 90.00
_symmetry_space_group_name_H-M 'P 1 21/c 1'
_symmetry_Int_Tables_number 14
_symmetry_space_group_name_Hall '-P 2ybc'
loop_
_atom_site_label
_atom_site_type_symbol
_atom_site_fract_x
_atom_site_fract_y
_atom_site_fract_z
_atom_site_occupancy
Cu1 Cu 0.0000 0.0000 0.0000 1
H1 H 0.0740 0.1067 0.6618 1
Se1 Se 0.3711 0.6636 0.2891 1
O1 O 0.0753 0.7347 0.0301 1
O2 O 0.1790 0.0243 0.7959 1
O3 O 0.4196 0.0456 0.2512 1
```